1.
DFT (PBE) results for a geometry-optimized CrOs3 structure.

abc: 5.3186 8.1080 5.1938
angles: 90.00 90.00 90.00
Last column: nearest neighbours and their distance in Å.
Positions (direct):
Os  0.8094  0.5117  0.6962  3 Cr 2.49-2.69, 6 Os 2.68-2.76
Os  0.1906  0.4883  0.3038  3 Cr 2.49-2.69, 6 Os 2.68-2.76
Os  0.5106  0.7500  0.4699  3 Cr 2.41-2.69
Cr  0.5641  0.7500  0.9544  9 Os 2.41-2.69
Os  0.3094  0.5117  0.8038  3 Cr 2.49-2.69, 6 Os 2.68-2.76
Cr  0.0641  0.7500  0.5456  9 Os 2.41-2.69
Os  0.6906  0.4883  0.1962  3 Cr 2.49-2.69, 6 Os 2.68-2.76
Cr  0.9359  0.2500  0.4544  9 Os 2.41-2.69
Os  0.8094  0.9883  0.6962  3 Cr 2.49-2.69, 6 Os 2.68-2.76
Os  0.4894  0.2500  0.5301  3 Cr 2.41-2.69
Os  0.0106  0.7500  0.0301  3 Cr 2.41-2.69
Os  0.9894  0.2500  0.9699  3 Cr 2.41-2.69
Cr  0.4359  0.2500  0.0456  9 Os 2.41-2.69
Os  0.3094  0.9883  0.8038  3 Cr 2.49-2.69, 6 Os 2.68-2.76
Os  0.6906  0.0117  0.1962  3 Cr 2.49-2.69, 6 Os 2.68-2.76
Os  0.1906  0.0117  0.3038  3 Cr 2.49-2.69, 6 Os 2.68-2.76

Properties
Its space group is No. 62. The calculation puts the electronic total energy at -170.9 eV/cell.

---

2.
DFT (PBE) results for a geometry-optimized GdErAlIn structure.

abc: 5.2153 5.2153 5.2153
angles: 60.00 60.00 60.00
Last column: nearest neighbours and their distance in Å.
Positions (direct):
Er  0.5000  0.5000  0.5000  4 Al 3.19, 4 In 3.19
Gd  0.0000  0.0000  0.0000  4 In 3.19, 4 Al 3.19
In  0.2500  0.2500  0.2500  4 Er 3.19, 4 Gd 3.19
Al  0.7500  0.7500  0.7500  4 Gd 3.19, 4 Er 3.19

Properties
Its space group is No. 216. The calculation puts the electronic total energy at -26.8 eV/cell.

---

3.
DFT (PBE) results for a geometry-optimized ScSb2IN structure.

abc: 5.5379 5.5379 5.4124
angles: 90.00 90.00 90.00
Last column: nearest neighbours and their distance in Å.
Positions (direct):
N  0.5000  0.5000  0.5000  8 Sb 3.87, 4 I 3.92
I  0.0000  0.0000  0.5000  2 Sc 2.71
Sc  0.0000  0.0000  0.0000  2 I 2.71, 4 Sb 2.77
Sb  0.5000  0.0000  0.0000  2 Sc 2.77
Sb  0.0000  0.5000  0.0000  2 Sc 2.77

Properties
For the formation energy (no corrections), the calculation gives 1.313 eV per atom. The offset from the most stable computed form comes out at 914 meV/atom. Its space group is No. 123. The calculation puts the electronic total energy at -17.9 eV/cell.

---

4.
DFT (PBE) results for a geometry-optimized Sb2RhS structure.

abc: 6.0760 6.0760 7.4254
angles: 65.85 65.85 90.00
Last column: nearest neighbours and their distance in Å.
Positions (direct):
Sb  0.3750  0.3433  0.7500  2 Rh 2.52, 2 S 2.74
Sb  0.8750  0.9067  0.7500  2 Rh 2.52, 2 S 2.74
S  0.5000  0.5000  0.0000  4 Sb 2.74
Rh  0.7500  0.2500  0.5000  4 Sb 2.52
Sb  0.6567  0.1250  0.2500  2 Rh 2.52, 2 S 2.74
Rh  0.0000  0.0000  0.0000  4 Sb 2.52
Sb  0.0933  0.6250  0.2500  2 Rh 2.52, 2 S 2.74
S  0.2500  0.7500  0.5000  4 Sb 2.74

Properties
For the formation energy (no corrections), the calculation gives 0.009 eV per atom. Its space group is No. 122. The calculation puts the electronic total energy at -39.4 eV/cell.